Below is RbMo2IrO8 after structural relaxation, with properties calculated at the PBE with a Hubbard U level.

abc: 5.506 5.506 8.211
angles: 92.41 92.41 64.31
Fractional positions:
Rb (0.000, 0.000, 0.000)
Mo (0.364, 0.364, 0.698)
Mo (0.636, 0.636, 0.302)
Ir (0.000, 0.000, 0.500)
O (0.210, 0.210, 0.556)
O (0.216, 0.730, 0.672)
O (0.270, 0.784, 0.328)
O (0.313, 0.313, 0.901)
O (0.687, 0.687, 0.099)
O (0.730, 0.216, 0.672)
O (0.784, 0.270, 0.328)
O (0.790, 0.790, 0.444)

Results
Uncorrected energy (eV/atom): -6.77